Material: GdSe
Method: DFT, PBE-GGA
State: optimized geometry

Computed properties:
Magnetic moment (μB/f.u.): 0.00
Density (Mg/m³): 8.0
DFT total energy (eV/atom): -5.86

Lattice parameters (Å, degrees): 4.108 4.108 4.108 120.15 119.84 90.01
Positions (direct):
1 Gd 0.000 0.000 0.000
2 Se 0.500 0.500 0.000

=====

Material: Dy2ErTm4Fe2Te2
Method: DFT, PBE-GGA
State: optimized geometry

Computed properties:
Magnetic moment (μB/f.u.): 0.70
Density (Mg/m³): 9.1
DFT total energy (eV/atom): -5.45

Lattice parameters (Å, degrees): 9.272 9.272 9.272 155.99 65.63 119.95
Positions (direct):
1 Dy 0.150 0.000 0.150
2 Dy 0.850 0.000 0.850
3 Er 0.766 0.266 0.500
4 Tm 0.211 0.848 0.363
5 Tm 0.453 0.640 0.813
6 Tm 0.485 0.848 0.637
7 Tm 0.826 0.640 0.187
8 Fe 0.070 0.333 0.737
9 Fe 0.596 0.333 0.263
10 Te 0.103 0.603 0.500
11 Te 0.499 0.499 0.000

=====

Material: NaSmBi
Method: DFT, PBE-GGA
State: optimized geometry

Computed properties:
Magnetic moment (μB/f.u.): 0.00
Density (Mg/m³): 6.3
DFT total energy (eV/atom): -3.74

Lattice parameters (Å, degrees): 5.229 5.229 5.229 60.00 60.00 60.00
Positions (direct):
1 Na 0.000 0.000 0.000
2 Sm 0.500 0.500 0.500
3 Bi 0.250 0.250 0.250

=====

Material: CdAsW4C2
Method: DFT, PBE-GGA
State: optimized geometry

Computed properties:
Magnetic moment (μB/f.u.): 0.00
Density (Mg/m³): 13.9
DFT total energy (eV/atom): -9.26

Lattice parameters (Å, degrees): 3.121 3.121 13.433 90.00 90.00 120.00
Positions (direct):
1 Cd 0.000 0.000 0.000
2 As 0.333 0.667 0.500
3 W 0.000 0.000 0.352
4 W 0.000 0.000 0.648
5 W 0.333 0.667 0.181
6 W 0.333 0.667 0.819
7 C 0.667 0.333 0.263
8 C 0.667 0.333 0.737

=====

Material: MgUBi
Method: DFT, PBE-GGA
State: optimized geometry

Computed properties:
Magnetic moment (μB/f.u.): 3.42
Density (Mg/m³): 9.6
DFT total energy (eV/atom): -5.27

Lattice parameters (Å, degrees): 9.500 9.500 3.127 90.00 90.00 120.00
Positions (direct):
1 Mg 0.000 0.631 0.000
2 Mg 0.369 0.369 0.000
3 Mg 0.631 0.000 0.000
4 U 0.000 0.000 0.000
5 U 0.333 0.667 0.500
6 U 0.667 0.333 0.500
7 Bi 0.000 0.304 0.500
8 Bi 0.304 0.000 0.500
9 Bi 0.696 0.696 0.500

=====

Material: Li3NbSe4
Method: DFT, PBE-GGA
State: optimized geometry

Computed properties:
Magnetic moment (μB/f.u.): 0.00
Density (Mg/m³): 4.1
DFT total energy (eV/atom): -4.61

Lattice parameters (Å, degrees): 6.100 6.100 6.100 109.47 109.47 109.47
Positions (direct):
1 Li 0.000 0.500 0.500
2 Li 0.500 0.000 0.500
3 Li 0.500 0.500 0.000
4 Nb 0.000 0.000 0.000
5 Se 0.000 0.000 0.603
6 Se 0.000 0.603 0.000
7 Se 0.397 0.397 0.397
8 Se 0.603 0.000 0.000

=====

Material: PuNpSi
Method: DFT, PBE-GGA
State: optimized geometry

Computed properties:
Magnetic moment (μB/f.u.): 9.98
Density (Mg/m³): 12.6
DFT total energy (eV/atom): -10.64
Energy above the most stable polymorph in this dataset (meV per atom): 0

Lattice parameters (Å, degrees): 4.564 4.564 4.564 60.00 60.00 60.00
Positions (direct):
1 Pu 0.000 0.000 0.000
2 Np 0.500 0.500 0.500
3 Si 0.750 0.750 0.750

=====

Material: LiInHPd2
Method: DFT, PBE-GGA
State: optimized geometry

Computed properties:
Density (Mg/m³): 8.5
DFT total energy (eV/atom): -4.17

Lattice parameters (Å, degrees): 4.048 4.048 3.996 90.00 90.00 90.00
Positions (direct):
1 Li 0.000 0.000 0.000
2 In 0.500 0.500 0.000
3 H 0.000 0.000 0.500
4 Pd 0.000 0.500 0.500
5 Pd 0.500 0.000 0.500

=====

Material: GaFeRe2
Method: DFT, PBE-GGA
State: optimized geometry

Computed properties:
Magnetic moment (μB/f.u.): 2.06
Density (Mg/m³): 15.1
DFT total energy (eV/atom): -8.89

Lattice parameters (Å, degrees): 4.261 4.261 4.261 60.00 60.00 60.00
Positions (direct):
1 Ga 0.000 0.000 0.000
2 Fe 0.250 0.250 0.250
3 Re 0.500 0.500 0.500
4 Re 0.750 0.750 0.750

=====

Material: SrCdPd
Method: DFT, PBE-GGA
State: optimized geometry

Computed properties:
Density (Mg/m³): 5.4
DFT total energy (eV/atom): -2.54

Lattice parameters (Å, degrees): 5.100 5.100 5.100 60.00 60.00 60.00
Positions (direct):
1 Sr 0.000 0.000 0.000
2 Cd 0.750 0.750 0.750
3 Pd 0.250 0.250 0.250

=====

Material: InCoCuAu
Method: DFT, PBE-GGA
State: optimized geometry

Computed properties:
Magnetic moment (μB/f.u.): 0.76
Density (Mg/m³): 11.8
DFT total energy (eV/atom): -4.11
Energy above the most stable polymorph in this dataset (meV per atom): 0

Lattice parameters (Å, degrees): 4.418 4.418 4.418 60.00 60.00 60.00
Positions (direct):
1 In 0.000 0.000 0.000
2 Co 0.250 0.250 0.250
3 Cu 0.750 0.750 0.750
4 Au 0.500 0.500 0.500

=====

Material: MgZrFeSn
Method: DFT, PBE-GGA
State: optimized geometry

Computed properties:
Magnetic moment (μB/f.u.): 0.00
Density (Mg/m³): 7.0
DFT total energy (eV/atom): -5.71
Energy above the most stable polymorph in this dataset (meV per atom): 0

Lattice parameters (Å, degrees): 4.595 4.595 4.595 60.00 60.00 60.00
Positions (direct):
1 Mg 0.000 0.000 0.000
2 Zr 0.750 0.750 0.750
3 Fe 0.500 0.500 0.500
4 Sn 0.250 0.250 0.250